Entry one
First-principles (GGA-PBE) data for a relaxed LiNiH2 crystal, as listed in the Alexandria database.

Cell and atoms, written as CIF:
```
data_LiNiH2
_space_group_name_H-M_alt 'P 1'
_space_group_IT_number 1
_space_group_name_Hall 'P 1'
_cell_length_a 3.2494
_cell_length_b 3.2494
_cell_length_c 2.7623
_cell_angle_alpha 90.00
_cell_angle_beta 90.00
_cell_angle_gamma 90.00
loop_
_atom_site_label
_atom_site_type_symbol
_atom_site_fract_x
_atom_site_fract_y
_atom_site_fract_z
Li1 Li 0.0000 0.0000 0.0000
Ni1 Ni 0.5000 0.5000 0.5000
H1 H 0.0000 0.5000 0.5000
H2 H 0.5000 0.0000 0.5000
```

Output
**SG**: P4/mmm
**Crystal system**: tetragonal

---

Entry two
First-principles (GGA-PBE) data for a relaxed LiNiH2 crystal, as listed in the Alexandria database.

Cell and atoms, written as CIF:
```
data_LiNiH2
_space_group_name_H-M_alt 'P 1'
_space_group_IT_number 1
_space_group_name_Hall 'P 1'
_cell_length_a 2.6140
_cell_length_b 9.8614
_cell_length_c 4.8214
_cell_angle_alpha 90.00
_cell_angle_beta 90.00
_cell_angle_gamma 90.00
loop_
_atom_site_label
_atom_site_type_symbol
_atom_site_fract_x
_atom_site_fract_y
_atom_site_fract_z
Li1 Li 0.0000 0.1276 0.2500
Li2 Li 0.0000 0.8724 0.7500
Li3 Li 0.5000 0.3724 0.7500
Li4 Li 0.5000 0.6276 0.2500
Ni1 Ni 0.0000 0.3930 0.2500
Ni2 Ni 0.0000 0.6070 0.7500
Ni3 Ni 0.5000 0.1070 0.7500
Ni4 Ni 0.5000 0.8930 0.2500
H1 H 0.0000 0.2076 0.7500
H2 H 0.0000 0.5000 0.0000
H3 H 0.0000 0.5000 0.5000
H4 H 0.0000 0.7924 0.2500
H5 H 0.5000 0.0000 0.0000
H6 H 0.5000 0.0000 0.5000
H7 H 0.5000 0.2924 0.2500
H8 H 0.5000 0.7076 0.7500
```

Output
**SG**: Cmcm
**Crystal system**: orthorhombic

---

Entry three
First-principles (GGA-PBE) data for a relaxed LiNiH2 crystal, as listed in the Alexandria database.

Cell and atoms, written as CIF:
```
data_LiNiH2
_space_group_name_H-M_alt 'P 1'
_space_group_IT_number 1
_space_group_name_Hall 'P 1'
_cell_length_a 3.9715
_cell_length_b 4.7265
_cell_length_c 7.8299
_cell_angle_alpha 90.00
_cell_angle_beta 90.00
_cell_angle_gamma 90.00
loop_
_atom_site_label
_atom_site_type_symbol
_atom_site_fract_x
_atom_site_fract_y
_atom_site_fract_z
Li1 Li 0.0000 0.0000 0.1970
Li2 Li 0.0000 0.0000 0.8030
Li3 Li 0.5000 0.5000 0.3030
Li4 Li 0.5000 0.5000 0.6970
Ni1 Ni 0.0000 0.2509 0.5000
Ni2 Ni 0.0000 0.7491 0.5000
Ni3 Ni 0.5000 0.2491 0.0000
Ni4 Ni 0.5000 0.7509 0.0000
H1 H 0.0000 0.5000 0.3535
H2 H 0.0000 0.5000 0.6465
H3 H 0.2334 0.5000 0.0000
H4 H 0.2666 0.0000 0.5000
H5 H 0.5000 0.0000 0.1465
H6 H 0.5000 0.0000 0.8535
H7 H 0.7334 0.0000 0.5000
H8 H 0.7666 0.5000 0.0000
```

Output
**SG**: Immm
**Crystal system**: orthorhombic

---

Entry four
First-principles (GGA-PBE) data for a relaxed LiNiH2 crystal, as listed in the Alexandria database.

Cell and atoms, written as CIF:
```
data_LiNiH2
_space_group_name_H-M_alt 'P 1'
_space_group_IT_number 1
_space_group_name_Hall 'P 1'
_cell_length_a 2.4557
_cell_length_b 2.4557
_cell_length_c 4.7434
_cell_angle_alpha 90.00
_cell_angle_beta 90.00
_cell_angle_gamma 90.00
loop_
_atom_site_label
_atom_site_type_symbol
_atom_site_fract_x
_atom_site_fract_y
_atom_site_fract_z
Li1 Li 0.0000 0.0000 0.0000
Ni1 Ni 0.0000 0.0000 0.5000
H1 H 0.5000 0.5000 0.2965
H2 H 0.5000 0.5000 0.7035
```

Output
**SG**: P4/mmm
**Crystal system**: tetragonal

---

entry one is the most stable structure; the next one sits 55 meV per atom above it.